1.
The following is a PBE calculation of a geometry-optimized Na2Al2Ag structure, from the Alexandria database.

Electronic total energy, eV for the cell shown: -22.6
Total moment, Bohr magnetons per cell: 0.000
Energy of formation from the pure elements, meV per atom: 339
Excess energy over the best structure of this formula in the dataset, meV per atom: 245.8

Unit cell a=9.1813 b=9.1813 c=2.8849 alpha=90.00 beta=90.00 gamma=90.00
Last column: nearest neighbours and their distance in Å.
Fractional positions:
Na 0.1945 0.3055 0.0000  2 Na 2.88, 6 Al 3.04-3.18
Na 0.3055 0.8055 0.0000  2 Na 2.88, 6 Al 3.04-3.18
Na 0.6945 0.1945 0.0000  2 Na 2.88, 6 Al 3.04-3.18
Na 0.8055 0.6945 0.0000  2 Na 2.88, 6 Al 3.04-3.18
Al 0.0995 0.5995 0.5000  3 Al 2.58-2.88
Al 0.4005 0.0995 0.5000  3 Al 2.58-2.88
Al 0.5995 0.9005 0.5000  3 Al 2.58-2.88
Al 0.9005 0.4005 0.5000  3 Al 2.58-2.88
Ag 0.0000 0.0000 0.0000  2 Ag 2.88
Ag 0.5000 0.5000 0.0000  2 Ag 2.88



2.
The following is a PBE calculation of a geometry-optimized CsAlSb2Pd structure, from the Alexandria database.

Electronic total energy, eV for the cell shown: -10.4
Total moment, Bohr magnetons per cell: 0.000

Unit cell a=6.3106 b=6.3106 c=5.2285 alpha=90.00 beta=90.00 gamma=90.00
Last column: nearest neighbours and their distance in Å.
Fractional positions:
Cs 0.0000 0.0000 0.0000  2 Pd 2.61
Al 0.5000 0.5000 0.5000  8 Sb 4.10, 4 Pd 4.46
Sb 0.0000 0.5000 0.0000  2 Cs 3.16
Sb 0.5000 0.0000 0.0000  2 Cs 3.16
Pd 0.0000 0.0000 0.5000  2 Cs 2.61



3.
The following is a PBE calculation of a geometry-optimized CaSbAu2 structure, from the Alexandria database.

Electronic total energy, eV for the cell shown: -14.6
Total moment, Bohr magnetons per cell: 0.000

Unit cell a=5.6670 b=5.6670 c=4.4017 alpha=90.14 beta=90.14 gamma=42.71
Last column: nearest neighbours and their distance in Å.
Fractional positions:
Ca 0.0000 0.0000 0.0000  7 Au 2.94-3.12
Sb 0.2797 0.2797 0.5012  5 Au 2.81-3.08
Au 0.5461 0.5461 0.5006  1 Sb 2.81, 2 Au 2.87, 4 Ca 3.05-3.06
Au 0.7212 0.7212 0.0018  2 Au 2.87, 3 Ca 2.94-3.12, 4 Sb 3.08



4.
The following is a PBE calculation of a geometry-optimized PmZr2VN4 structure, from the Alexandria database.

Electronic total energy, eV for the cell shown: -150.7
Total moment, Bohr magnetons per cell: 0.000

Unit cell a=5.9168 b=5.9168 c=11.2009 alpha=90.00 beta=90.00 gamma=147.85
Last column: nearest neighbours and their distance in Å.
Fractional positions:
Pm 0.0971 0.9029 0.7500  6 N 2.47-2.70
Pm 0.9029 0.0971 0.2500  6 N 2.47-2.70
Zr 0.3691 0.6309 0.5427  5 N 2.16-2.40
Zr 0.3691 0.6309 0.9573  5 N 2.16-2.40
Zr 0.6309 0.3691 0.0427  5 N 2.16-2.40
Zr 0.6309 0.3691 0.4573  5 N 2.16-2.40
V 0.1641 0.8359 0.2500  4 N 1.86-1.98
V 0.8359 0.1641 0.7500  4 N 1.86-1.98
N 0.0000 0.0000 0.0000  4 Zr 2.26
N 0.0000 0.0000 0.5000  4 Zr 2.26
N 0.2651 0.7349 0.1191  1 V 1.86
N 0.2651 0.7349 0.3809  1 V 1.86
N 0.4342 0.5658 0.7500  2 V 1.98
N 0.5658 0.4342 0.2500  2 V 1.98
N 0.7349 0.2651 0.6191  1 V 1.86
N 0.7349 0.2651 0.8809  1 V 1.86



5.
The following is a PBE calculation of a geometry-optimized Sm6Tm2Tl structure, from the Alexandria database.

Electronic total energy, eV for the cell shown: -79.9
Total moment, Bohr magnetons per cell: 0.000
Energy of formation from the pure elements, meV per atom: -35
Excess energy over the best structure of this formula in the dataset, meV per atom: 0.0

Unit cell a=10.7470 b=10.7470 c=4.9416 alpha=90.00 beta=90.00 gamma=90.00
Last column: nearest neighbours and their distance in Å.
Fractional positions:
Sm 0.0025 0.3342 0.0000  8 Sm 3.53-3.69, 3 Tm 3.56-3.59, 1 Tl 3.59
Sm 0.1594 0.1594 0.5000  2 Tl 3.46, 4 Tm 3.47-3.65, 6 Sm 3.53-3.69
Sm 0.1658 0.5025 0.5000  8 Sm 3.53-3.69, 3 Tm 3.56-3.59, 1 Tl 3.59
Sm 0.3342 0.0025 0.0000  8 Sm 3.53-3.69, 3 Tm 3.56-3.59, 1 Tl 3.59
Sm 0.3406 0.6594 0.0000  2 Tl 3.46, 4 Tm 3.47-3.65, 6 Sm 3.53-3.69
Sm 0.4975 0.8342 0.5000  8 Sm 3.53-3.69, 3 Tm 3.56-3.59, 1 Tl 3.59
Sm 0.5025 0.1658 0.5000  8 Sm 3.53-3.69, 3 Tm 3.56-3.59, 1 Tl 3.59
Sm 0.6594 0.3406 0.0000  2 Tl 3.46, 4 Tm 3.47-3.65, 6 Sm 3.53-3.69
Sm 0.6658 0.9975 0.0000  8 Sm 3.53-3.69, 3 Tm 3.56-3.59, 1 Tl 3.59
Sm 0.8342 0.4975 0.5000  8 Sm 3.53-3.69, 3 Tm 3.56-3.59, 1 Tl 3.59
Sm 0.8406 0.8406 0.5000  2 Tl 3.46, 4 Tm 3.47-3.65, 6 Sm 3.53-3.69
Sm 0.9975 0.6658 0.0000  8 Sm 3.53-3.69, 3 Tm 3.56-3.59, 1 Tl 3.59
Tm 0.1635 0.8365 0.5000  10 Sm 3.47-3.65, 2 Tl 3.50
Tm 0.3365 0.3365 0.0000  10 Sm 3.47-3.65, 2 Tl 3.50
Tm 0.6635 0.6635 0.0000  10 Sm 3.47-3.65, 2 Tl 3.50
Tm 0.8365 0.1635 0.5000  10 Sm 3.47-3.65, 2 Tl 3.50
Tl 0.0000 0.0000 0.0000  8 Sm 3.46-3.59, 4 Tm 3.50
Tl 0.5000 0.5000 0.5000  8 Sm 3.46-3.59, 4 Tm 3.50



6.
The following is a PBE calculation of a geometry-optimized CaPm2Nd6Sm structure, from the Alexandria database.

Electronic total energy, eV for the cell shown: -87.2
Total moment, Bohr magnetons per cell: 0.000
Energy of formation from the pure elements, meV per atom: 124

Unit cell a=9.0947 b=9.0947 c=10.0000 alpha=94.44 beta=94.44 gamma=118.76
Last column: nearest neighbours and their distance in Å.
Fractional positions:
Ca 0.0977 0.9023 0.7500  8 Nd 3.61-4.02, 2 Pm 3.68
Ca 0.9023 0.0977 0.2500  8 Nd 3.61-4.02, 2 Pm 3.68
Pm 0.1998 0.2998 0.9574  6 Nd 3.35-3.74, 2 Sm 3.47-3.53, 1 Ca 3.68
Pm 0.2998 0.1998 0.4574  6 Nd 3.35-3.74, 2 Sm 3.47-3.53, 1 Ca 3.68
Pm 0.7002 0.8002 0.5426  6 Nd 3.35-3.74, 2 Sm 3.47-3.53, 1 Ca 3.68
Pm 0.8002 0.7002 0.0426  6 Nd 3.35-3.74, 2 Sm 3.47-3.53, 1 Ca 3.68
Nd 0.0005 0.7866 0.3775  3 Nd 3.30-3.45, 3 Pm 3.35-3.52, 1 Ca 3.64
Nd 0.0735 0.5287 0.1776  4 Nd 3.30-3.70, 1 Pm 3.53, 1 Ca 3.61
Nd 0.2134 0.9995 0.1225  3 Nd 3.30-3.45, 3 Pm 3.35-3.52, 1 Ca 3.64
Nd 0.2612 0.6179 0.5522  5 Nd 3.45-3.85, 1 Pm 3.52, 1 Sm 3.72
Nd 0.3821 0.7388 0.9478  5 Nd 3.45-3.85, 1 Pm 3.52, 1 Sm 3.72
Nd 0.4713 0.9265 0.3224  4 Nd 3.30-3.70, 1 Pm 3.53, 1 Ca 3.61
Nd 0.5287 0.0735 0.6776  4 Nd 3.30-3.70, 1 Pm 3.53, 1 Ca 3.61
Nd 0.6179 0.2612 0.0522  5 Nd 3.45-3.85, 1 Pm 3.52, 1 Sm 3.72
Nd 0.7388 0.3821 0.4478  5 Nd 3.45-3.85, 1 Pm 3.52, 1 Sm 3.72
Nd 0.7866 0.0005 0.8775  3 Nd 3.30-3.45, 3 Pm 3.35-3.52, 1 Ca 3.64
Nd 0.9265 0.4713 0.8224  4 Nd 3.30-3.70, 1 Pm 3.53, 1 Ca 3.61
Nd 0.9995 0.2134 0.6225  3 Nd 3.30-3.45, 3 Pm 3.35-3.52, 1 Ca 3.64
Sm 0.4767 0.5233 0.2500  4 Pm 3.47-3.53, 4 Nd 3.71-3.72
Sm 0.5233 0.4767 0.7500  4 Pm 3.47-3.53, 4 Nd 3.71-3.72